(1)
The following is a DFT calculation (PBE) of K2Zn2Ag after structural relaxation.

Cell lengths 6.5938, 6.5938, 7.7894 Å; angles 90.00, 90.00, 107.43 degrees
Element x y z (fractional)
K  0.8091  0.1909  0.0000
K  0.1909  0.8091  0.5000
K  0.1909  0.8091  0.0000
K  0.8091  0.1909  0.5000
Zn  0.3596  0.3596  0.4109
Zn  0.6404  0.6404  0.9109
Zn  0.3596  0.3596  0.0891
Zn  0.6404  0.6404  0.5891
Ag  0.3286  0.3286  0.7500
Ag  0.6714  0.6714  0.2500

Properties
E_form ... 49 meV per atom
Total moment ... 0.0 μB per formula unit

=====

(2)
The following is a DFT calculation (PBE) of BaPmPa4N8 after structural relaxation.

Cell lengths 7.1368, 7.1368, 7.1139 Å; angles 59.89, 59.89, 60.00 degrees
Element x y z (fractional)
Ba  0.3777  0.3777  0.8668
Pm  0.0010  0.0010  0.9969
Pa  0.6203  0.6203  0.1391
Pa  0.0027  0.4915  0.5031
Pa  0.4915  0.0027  0.5031
Pa  0.0027  0.0027  0.5031
N  0.2358  0.8272  0.7012
N  0.8272  0.2358  0.7012
N  0.2358  0.2358  0.7012
N  0.2245  0.2245  0.3265
N  0.7465  0.2297  0.2773
N  0.2297  0.7465  0.2773
N  0.7465  0.7465  0.2773
N  0.7580  0.7580  0.7260

Properties
Total moment ... 1.1 μB per formula unit
Formation energy from raw total energies ... -139.90 kJ per mole of atoms